No. 1
Crystalline La2CuSn at its relaxed geometry, computed with PBE.

Properties
As for the electronic total energy: -4.38 eV per atom. The calculation puts the formation energy at 2.6 kcal/mol of atoms.

Structure (POSCAR):
```
La2CuSn
1.0
1.795 1.036 10.964
-1.795 1.036 10.964
0.000 -2.072 10.964
La Cu Sn
2 1 1
direct
0.101 0.101 0.101
0.899 0.899 0.899
0.500 0.500 0.500
0.000 0.000 0.000
```


No. 2
Crystalline LaCu2Sn2 at its relaxed geometry, computed with PBE.

Properties
As for the electronic total energy: -4.31 eV per atom. The calculation puts the formation energy at -2.0 kcal/mol of atoms.

Structure (POSCAR):
```
LaCu2Sn2
1.0
8.339 0.000 0.000
0.000 8.339 0.000
0.000 0.000 3.106
La Cu Sn
2 4 4
direct
0.000 0.000 0.000
0.500 0.500 0.000
0.153 0.347 0.500
0.347 0.847 0.500
0.653 0.153 0.500
0.847 0.653 0.500
0.138 0.638 0.000
0.362 0.138 0.000
0.638 0.862 0.000
0.862 0.362 0.000
```


No. 3
Crystalline La3CuSn at its relaxed geometry, computed with PBE.

Properties
As for the electronic total energy: -4.74 eV per atom. The calculation puts the formation energy at -3.8 kcal/mol of atoms.

Structure (POSCAR):
```
La3CuSn
1.0
5.526 0.000 0.000
0.000 5.526 0.000
0.000 0.000 5.526
La Cu Sn
3 1 1
direct
0.000 0.000 0.500
0.000 0.500 0.000
0.500 0.000 0.000
0.000 0.000 0.000
0.500 0.500 0.500
```